(1)
! Ti2Pt2Se GGA-PBE optimized geometry; values from VASP
! - N(E_F): 3.8 states/eV/f.u.
&SYSTEM
  ibrav = 0, nat = 10, ntyp = 3
/
ATOMIC_SPECIES
Se 78.96 Se.upf
Pt 195.08 Pt.upf
Ti 47.87 Ti.upf
ATOMIC_POSITIONS crystal
Se 0.0000 0.0000 0.0000
Se 0.5000 0.5000 0.0000
Pt 0.1342 0.6342 0.5000
Pt 0.6342 0.8658 0.5000
Pt 0.8658 0.3658 0.5000
Pt 0.3658 0.1342 0.5000
Ti 0.3381 0.8381 0.0000
Ti 0.8381 0.6619 0.0000
Ti 0.6619 0.1619 0.0000
Ti 0.1619 0.3381 0.0000
CELL_PARAMETERS angstrom
-2.1001 -4.9009 4.5881
6.4302 -0.0871 2.8503
-0.9602 2.5113 2.2429


(2)
! Ti2PtSe GGA-PBE optimized geometry; values from VASP
! - N(E_F): 4.2 states/eV/f.u.
&SYSTEM
  ibrav = 0, nat = 8, ntyp = 3
/
ATOMIC_SPECIES
Se 78.96 Se.upf
Pt 195.08 Pt.upf
Ti 47.87 Ti.upf
ATOMIC_POSITIONS crystal
Se 0.5000 0.5000 0.0000
Se 0.2500 0.7500 0.5000
Pt 0.0000 0.0000 0.0000
Pt 0.7500 0.2500 0.5000
Ti 0.6200 0.1250 0.2500
Ti 0.1300 0.6250 0.2500
Ti 0.3750 0.3800 0.7500
Ti 0.8750 0.8700 0.7500
CELL_PARAMETERS angstrom
6.9096 0.0000 0.0000
0.0000 6.9096 0.0000
3.4548 3.4548 2.9563


(3)
! Ti3PtSe GGA-PBE optimized geometry; values from VASP
! - Excess energy over the best structure of this formula in the dataset: 194 meV/atom
! - N(E_F): 4.5 states/eV/f.u.
&SYSTEM
  ibrav = 0, nat = 5, ntyp = 3
/
ATOMIC_SPECIES
Se 78.96 Se.upf
Pt 195.08 Pt.upf
Ti 47.87 Ti.upf
ATOMIC_POSITIONS crystal
Se 0.5000 0.5000 0.5000
Pt 0.0000 0.0000 0.0000
Ti 0.0000 0.5000 0.0000
Ti 0.0000 0.0000 0.5000
Ti 0.5000 0.0000 0.0000
CELL_PARAMETERS angstrom
-0.3347 1.3277 4.6366
-3.1714 -3.5622 0.7911
3.6336 -2.9868 1.1175


(4)
! TiPt3Se GGA-PBE optimized geometry; values from VASP
! - Excess energy over the best structure of this formula in the dataset: 220 meV/atom
! - N(E_F): 3.2 states/eV/f.u.
&SYSTEM
  ibrav = 0, nat = 5, ntyp = 3
/
ATOMIC_SPECIES
Se 78.96 Se.upf
Pt 195.08 Pt.upf
Ti 47.87 Ti.upf
ATOMIC_POSITIONS crystal
Se 0.5000 0.5000 0.5000
Pt 0.0000 0.5000 0.0000
Pt 0.0000 0.0000 0.5000
Pt 0.5000 0.0000 0.0000
Ti 0.0000 0.0000 0.0000
CELL_PARAMETERS angstrom
4.7148 0.0000 0.0000
0.0000 4.7148 0.0000
0.0000 0.0000 4.7148


(5)
! TiPt3Se GGA-PBE optimized geometry; values from VASP
! - Excess energy over the best structure of this formula in the dataset: 0 meV/atom
! - N(E_F): 16.1 states/eV/f.u.
&SYSTEM
  ibrav = 0, nat = 5, ntyp = 3
/
ATOMIC_SPECIES
Se 78.96 Se.upf
Pt 195.08 Pt.upf
Ti 47.87 Ti.upf
ATOMIC_POSITIONS crystal
Se 0.0000 0.0000 0.0000
Pt 0.0000 0.5000 0.0000
Pt 0.0000 0.0000 0.5000
Pt 0.5000 0.0000 0.0000
Ti 0.5000 0.5000 0.5000
CELL_PARAMETERS angstrom
-4.2874 0.3403 -1.8176
1.2514 -2.8449 -3.4845
-1.3614 -3.6867 2.5211


(6)
! TlPt2Se3 GGA-PBE optimized geometry; values from VASP
! - Excess energy over the best structure of this formula in the dataset: 6 meV/atom
&SYSTEM
  ibrav = 0, nat = 12, ntyp = 3
/
ATOMIC_SPECIES
Tl 204.38 Tl.upf
Pt 195.08 Pt.upf
Se 78.96 Se.upf
ATOMIC_POSITIONS crystal
Tl 0.2195 0.2195 0.3415
Tl 0.7805 0.7805 0.6585
Pt 0.0000 0.0000 0.0000
Pt 0.5000 0.0000 0.0000
Pt 0.5000 0.5000 0.0000
Pt 0.0000 0.5000 0.0000
Se 0.2365 0.7276 0.7995
Se 0.7276 0.2365 0.7995
Se 0.2365 0.2365 0.7995
Se 0.2724 0.7635 0.2005
Se 0.7635 0.2724 0.2005
Se 0.7635 0.7635 0.2005
CELL_PARAMETERS angstrom
1.8059 0.8194 7.2520
2.5202 -5.8897 3.9351
7.3310 -0.2580 2.1008


| no. | ΔE_f (raw) (eV per atom) |
| --- | --- |
| 1 | -0.678 |
| 2 | -0.535 |
| 3 | 0.161 |
| 4 | 0.730 |
| 5 | 0.511 |
| 6 | -0.447 |